Below is a relaxed structure of SrSb4Au2, with properties calculated at the PBE-GGA level.

Values from the calculation:
E_tot = -3.812 eV/atom
space-group type = Fddd, No. 70
calculated density = 7.555 Mg/m³

Lattice parameters (Å, degrees): 13.323 12.718 6.173 81.82 70.89 27.30
Element x y z (fractional)
1 Sr 0.125 0.125 0.125
2 Sr 0.875 0.875 0.875
3 Sb 0.062 0.555 0.412
4 Sb 0.412 0.472 0.062
5 Sb 0.445 0.938 0.528
6 Sb 0.472 0.412 0.555
7 Sb 0.528 0.588 0.445
8 Sb 0.555 0.062 0.472
9 Sb 0.588 0.528 0.938
10 Sb 0.938 0.445 0.588
11 Au 0.061 0.061 0.689
12 Au 0.311 0.311 0.939
13 Au 0.689 0.689 0.061
14 Au 0.939 0.939 0.311